## Eu2NiBiO6 (GGA+U)

Data for a geometry-optimized Eu2NiBiO6 structure.

The structure in CIF format:
```
data_Eu2NiBiO6
_chemical_formula_sum 'Eu8 Ni4 Bi4 O24'
_cell_length_a 8.154
_cell_length_b 8.154
_cell_length_c 8.154
_cell_angle_alpha 90.00
_cell_angle_beta 90.00
_cell_angle_gamma 90.00
_space_group_name_H-M_alt 'F m -3 m'
_space_group_IT_number 225
_space_group_name_Hall '-F 4 2 3'
loop_
_atom_site_label
_atom_site_type_symbol
_atom_site_fract_x
_atom_site_fract_y
_atom_site_fract_z
Eu1 Eu 0.250 0.250 0.250
Ni1 Ni 0.000 0.000 0.000
Bi1 Bi 0.000 0.000 0.500
O1 O 0.000 0.000 0.245
```

## Properties
DOS(E_F) (states/eV/cell): 86.0
Final energy (eV per cell): -295.0
Total magnetic moment (μB per atom): 1.500